Entry A
HfScCu: optimized geometry, GGA-PBE.

Structure (CIF):
```
data_HfScCu
_chemical_formula_sum 'Hf2 Sc2 Cu2'
_space_group_name_H-M_alt 'P 1'
_space_group_IT_number 1
_cell_length_a 3.1870
_cell_length_b 3.1870
_cell_length_c 11.3399
_cell_angle_alpha 90.00
_cell_angle_beta 90.00
_cell_angle_gamma 90.00
loop_
_space_group_symop_operation_xyz
'x,y,z'
loop_
_atom_site_label
_atom_site_fract_x
_atom_site_fract_y
_atom_site_fract_z
_atom_site_occupancy
Hf1 0.2500 0.2500 0.0917 1
Hf2 0.7500 0.7500 0.9083 1
Sc1 0.2500 0.2500 0.3951 1
Sc2 0.7500 0.7500 0.6049 1
Cu1 0.2500 0.2500 0.7567 1
Cu2 0.7500 0.7500 0.2433 1
```

Space-group type ... P4/nmm, No. 129
Magnetic moment ... 0.8 Bohr magnetons per cell

=====

Entry B
HfScCu: optimized geometry, GGA-PBE.

Structure (CIF):
```
data_HfScCu
_chemical_formula_sum 'Hf1 Sc1 Cu1'
_space_group_name_H-M_alt 'P 1'
_space_group_IT_number 1
_cell_length_a 6.0795
_cell_length_b 6.0795
_cell_length_c 6.0795
_cell_angle_alpha 149.66
_cell_angle_beta 149.66
_cell_angle_gamma 43.44
loop_
_space_group_symop_operation_xyz
'x,y,z'
loop_
_atom_site_label
_atom_site_fract_x
_atom_site_fract_y
_atom_site_fract_z
_atom_site_occupancy
Hf1 0.0000 0.0000 0.0000 1
Sc1 0.3065 0.3065 0.0000 1
Cu1 0.6479 0.6479 0.0000 1
```

Space-group type ... I4mm, No. 107
Magnetic moment ... 0.1 Bohr magnetons per cell

=====

Computed relative energies in units of meV per atom: entry A 0; entry B 31